The following is a PBE calculation of TmBe4GeIr2 after structural relaxation, from the Alexandria database.

Unit cell a=8.9002 b=8.9002 c=8.9002 alpha=25.29 beta=25.29 gamma=25.29
Last column: nearest neighbours and their distance in Å.
Atoms (fractional coordinates):
Tm (0.0000, 0.0000, 0.0000)  8 Be 2.80-2.96, 6 Ir 3.13
Be (0.1085, 0.1085, 0.1085)  3 Ir 2.34, 3 Be 2.42
Be (0.4076, 0.4076, 0.4076)  3 Ir 2.26, 1 Ge 2.39, 3 Be 2.42
Be (0.5924, 0.5924, 0.5924)  3 Ir 2.26, 1 Ge 2.39, 3 Be 2.42
Be (0.8915, 0.8915, 0.8915)  3 Ir 2.34, 3 Be 2.42
Ge (0.5000, 0.5000, 0.5000)  2 Be 2.39
Ir (0.2492, 0.2492, 0.2492)  6 Be 2.26-2.34
Ir (0.7508, 0.7508, 0.7508)  6 Be 2.26-2.34

Volume in A^3/atom: 14.150
DOS at the Fermi energy in states/eV per atom: 0.34
Space-group type: R-3m, No. 166
Total DFT energy (no corrections) in eV per atom: -5.497



The following is a PBE calculation of ScCu2Sn2 after structural relaxation, from the Alexandria database.

Unit cell a=7.8074 b=7.8074 c=3.2008 alpha=90.00 beta=90.00 gamma=90.00
Last column: nearest neighbours and their distance in Å.
Atoms (fractional coordinates):
Sc (0.0000, 0.0000, 0.0000)  4 Sn 2.98, 2 Sc 3.20
Sc (0.5000, 0.5000, 0.0000)  4 Sn 2.98, 2 Sc 3.20
Cu (0.1467, 0.3533, 0.5000)  6 Sn 2.76-2.81
Cu (0.3533, 0.8533, 0.5000)  6 Sn 2.76-2.81
Cu (0.6467, 0.1467, 0.5000)  6 Sn 2.76-2.81
Cu (0.8533, 0.6467, 0.5000)  6 Sn 2.76-2.81
Sn (0.1491, 0.6491, 0.0000)  6 Cu 2.76-2.81, 2 Sc 2.98
Sn (0.3509, 0.1491, 0.0000)  6 Cu 2.76-2.81, 2 Sc 2.98
Sn (0.6491, 0.8509, 0.0000)  6 Cu 2.76-2.81, 2 Sc 2.98
Sn (0.8509, 0.3509, 0.0000)  6 Cu 2.76-2.81, 2 Sc 2.98

Volume in A^3/atom: 19.510
DOS at the Fermi energy in states/eV per atom: 0.47
Space-group type: P4/mbm, No. 127
Total DFT energy (no corrections) in eV per atom: -4.535



The following is a PBE calculation of UAg2Br8 after structural relaxation, from the Alexandria database.

Unit cell a=8.1943 b=8.1943 c=7.2369 alpha=92.94 beta=92.94 gamma=60.33
Last column: nearest neighbours and their distance in Å.
Atoms (fractional coordinates):
U (0.0000, 0.0000, 0.0000)  6 Br 2.64-2.71
Ag (0.2045, 0.2045, 0.7370)  3 Br 2.48-2.65
Ag (0.7955, 0.7955, 0.2630)  3 Br 2.48-2.65
Br (0.1266, 0.1266, 0.2823)  1 U 2.64
Br (0.1455, 0.6628, 0.1612)  1 Ag 2.65, 1 U 2.71
Br (0.3372, 0.8545, 0.8388)  1 Ag 2.65, 1 U 2.71
Br (0.3646, 0.3646, 0.6173)  1 Ag 2.48
Br (0.6354, 0.6354, 0.3827)  1 Ag 2.48
Br (0.6628, 0.1455, 0.1612)  1 Ag 2.65, 1 U 2.71
Br (0.8545, 0.3372, 0.8388)  1 Ag 2.65, 1 U 2.71
Br (0.8734, 0.8734, 0.7177)  1 U 2.64

Volume in A^3/atom: 38.317
DOS at the Fermi energy in states/eV per atom: 1.05
Formation energy from raw total energies in meV/atom: -717
Space-group type: C2/m, No. 12



The following is a PBE calculation of Er5GaBi4 after structural relaxation, from the Alexandria database.

Unit cell a=7.6065 b=7.6065 c=7.6065 alpha=99.61 beta=99.61 gamma=131.78
Last column: nearest neighbours and their distance in Å.
Atoms (fractional coordinates):
Er (0.0000, 0.0000, 0.0000)  2 Ga 3.11, 4 Bi 3.11
Er (0.2114, 0.6002, 0.8116)  1 Ga 3.00, 5 Bi 3.11-3.14
Er (0.3998, 0.2114, 0.6113)  1 Ga 3.00, 5 Bi 3.11-3.14
Er (0.6002, 0.7886, 0.3887)  1 Ga 3.00, 5 Bi 3.11-3.14
Er (0.7886, 0.3998, 0.1884)  1 Ga 3.00, 5 Bi 3.11-3.14
Ga (0.5000, 0.5000, 0.0000)  6 Er 3.00-3.11
Bi (0.0938, 0.3028, 0.3966)  6 Er 3.11-3.14
Bi (0.3028, 0.9062, 0.2090)  6 Er 3.11-3.14
Bi (0.6972, 0.0938, 0.7910)  6 Er 3.11-3.14
Bi (0.9062, 0.6972, 0.6034)  6 Er 3.11-3.14

Volume in A^3/atom: 29.957
DOS at the Fermi energy in states/eV per atom: 0.68
Space-group type: I4/m, No. 87
Total DFT energy (no corrections) in eV per atom: -4.797



The following is a PBE calculation of Tc3IrRh after structural relaxation, from the Alexandria database.

Unit cell a=9.1101 b=9.1101 c=9.1101 alpha=29.50 beta=29.50 gamma=29.50
Last column: nearest neighbours and their distance in Å.
Atoms (fractional coordinates):
Tc (0.0006, 0.3447, 0.6547)  6 Tc 2.63-2.77, 2 Ir 2.64-2.72, 2 Rh 2.65-2.71
Tc (0.1547, 0.8447, 0.5006)  6 Tc 2.63-2.77, 2 Ir 2.64-2.72, 2 Rh 2.65-2.71
Tc (0.3447, 0.6547, 0.0006)  6 Tc 2.63-2.77, 2 Ir 2.64-2.72, 2 Rh 2.65-2.71
Tc (0.5006, 0.1547, 0.8447)  6 Tc 2.63-2.77, 2 Ir 2.64-2.72, 2 Rh 2.65-2.71
Tc (0.6547, 0.0006, 0.3447)  6 Tc 2.63-2.77, 2 Ir 2.64-2.72, 2 Rh 2.65-2.71
Tc (0.8447, 0.5006, 0.1547)  6 Tc 2.63-2.77, 2 Ir 2.64-2.72, 2 Rh 2.65-2.71
Ir (0.0805, 0.0805, 0.0805)  6 Tc 2.64-2.72, 3 Rh 2.68
Ir (0.5805, 0.5805, 0.5805)  6 Tc 2.64-2.72, 3 Rh 2.68
Rh (0.4193, 0.4193, 0.4193)  6 Tc 2.65-2.71, 3 Ir 2.68
Rh (0.9193, 0.9193, 0.9193)  6 Tc 2.65-2.71, 3 Ir 2.68

Volume in A^3/atom: 16.230
Offset from the most stable computed form in meV per atom: 0.0
DOS at the Fermi energy in states/eV per atom: 1.31
Space-group type: R3c, No. 161



The following is a PBE calculation of Pm3Si2SnRh9 after structural relaxation, from the Alexandria database.

Unit cell a=6.7701 b=6.7701 c=7.3856 alpha=90.00 beta=90.00 gamma=120.00
Last column: nearest neighbours and their distance in Å.
Atoms (fractional coordinates):
Pm (0.0000, 0.0000, 0.0000)  12 Rh 3.37-3.39, 2 Sn 3.69
Pm (0.3333, 0.6667, 0.6712)  6 Rh 2.95-3.12
Pm (0.6667, 0.3333, 0.3288)  6 Rh 2.95-3.12
Si (0.3333, 0.6667, 0.1428)  6 Rh 2.22-2.25
Si (0.6667, 0.3333, 0.8572)  6 Rh 2.22-2.25
Sn (0.0000, 0.0000, 0.5000)  6 Rh 2.50
Rh (0.0000, 0.5000, 0.0000)  2 Si 2.22
Rh (0.1890, 0.3780, 0.3435)  1 Si 2.25, 1 Sn 2.50
Rh (0.1890, 0.8110, 0.3435)  1 Si 2.25, 1 Sn 2.50
Rh (0.3780, 0.1890, 0.6565)  1 Si 2.25, 1 Sn 2.50
Rh (0.5000, 0.0000, 0.0000)  2 Si 2.22
Rh (0.5000, 0.5000, 0.0000)  2 Si 2.22
Rh (0.6220, 0.8110, 0.3435)  1 Si 2.25, 1 Sn 2.50
Rh (0.8110, 0.1890, 0.6565)  1 Si 2.25, 1 Sn 2.50
Rh (0.8110, 0.6220, 0.6565)  1 Si 2.25, 1 Sn 2.50

Volume in A^3/atom: 19.544
DOS at the Fermi energy in states/eV per atom: 0.23
Formation energy from raw total energies in meV/atom: -453
Space-group type: P-3m1, No. 164



The following is a PBE calculation of LaTmFe4 after structural relaxation, from the Alexandria database.

Unit cell a=5.1966 b=5.1966 c=5.1966 alpha=60.00 beta=60.00 gamma=60.00
Last column: nearest neighbours and their distance in Å.
Atoms (fractional coordinates):
La (0.0000, 0.0000, 0.0000)  12 Fe 3.05, 4 Tm 3.18
Tm (0.7500, 0.7500, 0.7500)  12 Fe 3.05, 4 La 3.18
Fe (0.3756, 0.3756, 0.3756)  6 Fe 2.59-2.61
Fe (0.3756, 0.3756, 0.8733)  6 Fe 2.59-2.61
Fe (0.3756, 0.8733, 0.3756)  6 Fe 2.59-2.61
Fe (0.8733, 0.3756, 0.3756)  6 Fe 2.59-2.61

Volume in A^3/atom: 16.538
DOS at the Fermi energy in states/eV per atom: 1.16
Space-group type: F-43m, No. 216
Total DFT energy (no corrections) in eV per atom: -7.219



The following is a PBE calculation of TiNO after structural relaxation, from the Alexandria database.

Unit cell a=3.8168 b=3.8168 c=5.9806 alpha=90.00 beta=90.00 gamma=136.63
Last column: nearest neighbours and their distance in Å.
Atoms (fractional coordinates):
Ti (0.0550, 0.9450, 0.7500)  3 O 2.01-2.12, 4 N 2.09
Ti (0.9450, 0.0550, 0.2500)  3 O 2.01-2.12, 4 N 2.09
N (0.5000, 0.5000, 0.0000)  4 Ti 2.09
N (0.5000, 0.5000, 0.5000)  4 Ti 2.09
O (0.2439, 0.7561, 0.2500)  3 Ti 2.01-2.12
O (0.7561, 0.2439, 0.7500)  3 Ti 2.01-2.12

Volume in A^3/atom: 9.971
DOS at the Fermi energy in states/eV per atom: 0.19
Formation energy from raw total energies in meV/atom: -1364
Space-group type: Cmcm, No. 63



The following is a PBE calculation of CaBe2Tl2 after structural relaxation, from the Alexandria database.

Unit cell a=6.4714 b=6.4714 c=6.4714 alpha=141.66 beta=141.66 gamma=55.35
Last column: nearest neighbours and their distance in Å.
Atoms (fractional coordinates):
Ca (0.0000, 0.0000, 0.0000)  8 Tl 3.36, 8 Be 3.57
Be (0.2500, 0.7500, 0.5000)  4 Tl 2.53
Be (0.7500, 0.2500, 0.5000)  4 Tl 2.53
Tl (0.3695, 0.3695, 0.0000)  4 Be 2.53
Tl (0.6305, 0.6305, 0.0000)  4 Be 2.53

Volume in A^3/atom: 20.708
DOS at the Fermi energy in states/eV per atom: 0.36
Space-group type: I4/mmm, No. 139
Total DFT energy (no corrections) in eV per atom: -2.644



The following is a PBE calculation of CaZn3Au10 after structural relaxation, from the Alexandria database.

Unit cell a=9.1862 b=9.1862 c=9.1862 alpha=60.00 beta=60.00 gamma=60.00
Last column: nearest neighbours and their distance in Å.
Atoms (fractional coordinates):
Ca (0.2500, 0.2500, 0.2500)  4 Au 3.00
Ca (0.7500, 0.7500, 0.7500)  4 Au 3.00
Zn (0.2330, 0.2330, 0.7670)  8 Au 2.56-2.62
Zn (0.2330, 0.7670, 0.2330)  8 Au 2.56-2.62
Zn (0.2330, 0.7670, 0.7670)  8 Au 2.56-2.62
Zn (0.7670, 0.2330, 0.2330)  8 Au 2.56-2.62
Zn (0.7670, 0.2330, 0.7670)  8 Au 2.56-2.62
Zn (0.7670, 0.7670, 0.2330)  8 Au 2.56-2.62
Au (0.1169, 0.1169, 0.1169)  3 Zn 2.62
Au (0.1169, 0.1169, 0.6493)  3 Zn 2.62
Au (0.1169, 0.6493, 0.1169)  3 Zn 2.62
Au (0.1532, 0.5000, 0.5000)  2 Zn 2.56, 1 Au 2.81
Au (0.1532, 0.5000, 0.8468)  2 Zn 2.56, 1 Au 2.81
Au (0.1532, 0.8468, 0.5000)  2 Zn 2.56, 1 Au 2.81
Au (0.3507, 0.8831, 0.8831)  3 Zn 2.62
Au (0.5000, 0.1532, 0.5000)  2 Zn 2.56, 1 Au 2.81
Au (0.5000, 0.1532, 0.8468)  2 Zn 2.56, 1 Au 2.81
Au (0.5000, 0.5000, 0.1532)  2 Zn 2.56, 1 Au 2.81
Au (0.5000, 0.5000, 0.8468)  2 Zn 2.56, 1 Au 2.81
Au (0.5000, 0.8468, 0.1532)  2 Zn 2.56, 1 Au 2.81
Au (0.5000, 0.8468, 0.5000)  2 Zn 2.56, 1 Au 2.81
Au (0.6493, 0.1169, 0.1169)  3 Zn 2.62
Au (0.8468, 0.1532, 0.5000)  2 Zn 2.56, 1 Au 2.81
Au (0.8468, 0.5000, 0.1532)  2 Zn 2.56, 1 Au 2.81
Au (0.8468, 0.5000, 0.5000)  2 Zn 2.56, 1 Au 2.81
Au (0.8831, 0.3507, 0.8831)  3 Zn 2.62
Au (0.8831, 0.8831, 0.3507)  3 Zn 2.62
Au (0.8831, 0.8831, 0.8831)  3 Zn 2.62

Volume in A^3/atom: 19.577
DOS at the Fermi energy in states/eV per atom: 0.16
Space-group type: Fm-3m, No. 225
Total DFT energy (no corrections) in eV per atom: -2.929



| no. | magnetization (μB/f.u.) |
| --- | --- |
| 1 | 0.00 |
| 2 | 0.52 |
| 3 | 0.16 |
| 4 | 0.00 |
| 5 | 0.00 |
| 6 | 0.00 |
| 7 | 7.77 |
| 8 | 0.80 |
| 9 | 0.00 |
| 10 | 0.00 |